Record 1
# HgOsC2 PBE relaxed
data_HgOsC2
_chemical_formula_sum 'Hg2 Os2 C4'
_space_group_name_H-M_alt 'P 1'
_space_group_IT_number 1
_cell_length_a 5.0960
_cell_length_b 5.0960
_cell_length_c 5.9152
_cell_angle_alpha 64.48
_cell_angle_beta 64.48
_cell_angle_gamma 90.00
loop_
_space_group_symop_operation_xyz
'x,y,z'
loop_
_atom_site_label
_atom_site_type_symbol
_atom_site_fract_x
_atom_site_fract_y
_atom_site_fract_z
C1 C 0.5421 0.1250 0.2500
C2 C 0.2079 0.6250 0.2500
C3 C 0.3750 0.4579 0.7500
C4 C 0.8750 0.7921 0.7500
Os1 Os 0.5000 0.5000 0.0000
Os2 Os 0.2500 0.7500 0.5000
Hg1 Hg 0.0000 0.0000 0.0000
Hg2 Hg 0.7500 0.2500 0.5000
# E_form   1.146 eV/atom
# Space group   I-42d, No. 122
# Total DFT energy (no corrections)   -6.349 eV/atom


Record 2
# InHg4 PBE relaxed
data_InHg4
_chemical_formula_sum 'In1 Hg4'
_space_group_name_H-M_alt 'P 1'
_space_group_IT_number 1
_cell_length_a 8.2862
_cell_length_b 8.2862
_cell_length_c 8.2862
_cell_angle_alpha 149.74
_cell_angle_beta 149.74
_cell_angle_gamma 43.32
loop_
_space_group_symop_operation_xyz
'x,y,z'
loop_
_atom_site_label
_atom_site_type_symbol
_atom_site_fract_x
_atom_site_fract_y
_atom_site_fract_z
Hg1 Hg 0.2500 0.7500 0.5000
Hg2 Hg 0.7500 0.2500 0.5000
Hg3 Hg 0.5980 0.5980 0.0000
Hg4 Hg 0.4020 0.4020 0.0000
In1 In 0.0000 0.0000 0.0000
# Energy relative to the lowest polymorph listed for this composition   66.7 meV/atom
# E_form   0.066 eV/atom
# Space group   I4/mmm, No. 139
# Total DFT energy (no corrections)   -0.723 eV/atom